1.
# PmAgHg

Crystalline PmAgHg at its relaxed geometry (PBE-GGA, Alexandria via LeMat-Bulk).

Values from the calculation:
magnetic moment = 0.027 μB per atom
energy = -3.01 eV per atom
calculated formation energy = -0.3725 eV/atom
relative energy among the computed polymorphs = 0.000 eV per atom
space-group type = P-6m2, No. 187

Cell lengths 3.423, 4.945, 4.945 Å; angles 120.00, 90.00, 90.00 degrees
Sites, in units of the cell vectors:
Pm1 0.667 0.333 0.667
Ag1 0.167 0.667 0.333
Hg1 0.166 0.000 0.000



2.
# PmAgHg5

Crystalline PmAgHg5 at its relaxed geometry (PBE-GGA, Alexandria via LeMat-Bulk).

Values from the calculation:
magnetic moment = 0.000 μB per atom
energy = -1.51 eV per atom
calculated formation energy = -0.2106 eV/atom
space-group type = P4/mmm, No. 123

Cell lengths 4.900, 4.900, 7.362 Å; angles 90.00, 90.00, 90.00 degrees
Sites, in units of the cell vectors:
Hg1 0.500 0.000 0.288
Hg2 0.500 0.000 0.712
Hg3 0.000 0.500 0.712
Hg4 0.500 0.500 0.000
Hg5 0.000 0.500 0.288
Ag1 0.000 0.000 0.500
Pm1 0.000 0.000 0.000



3.
# PmAg5Hg

Crystalline PmAg5Hg at its relaxed geometry (PBE-GGA, Alexandria via LeMat-Bulk).

Values from the calculation:
magnetic moment = 0.000 μB per atom
energy = -2.88 eV per atom
calculated formation energy = -0.1246 eV/atom
space-group type = Pnma, No. 62

Cell lengths 5.713, 9.018, 11.444 Å; angles 90.00, 90.00, 90.00 degrees
Sites, in units of the cell vectors:
Pm1 0.250 0.244 0.931
Pm2 0.750 0.756 0.069
Pm3 0.750 0.256 0.431
Pm4 0.250 0.744 0.569
Ag1 0.250 0.932 0.091
Ag2 0.750 0.568 0.591
Ag3 0.993 0.434 0.189
Ag4 0.007 0.066 0.689
Ag5 0.750 0.816 0.759
Ag6 0.250 0.432 0.409
Ag7 0.750 0.068 0.909
Ag8 0.250 0.600 0.020
Ag9 0.250 0.100 0.480
Ag10 0.993 0.934 0.311
Ag11 0.007 0.566 0.811
Ag12 0.750 0.400 0.980
Ag13 0.493 0.566 0.811
Ag14 0.250 0.184 0.241
Ag15 0.507 0.934 0.311
Ag16 0.493 0.066 0.689
Ag17 0.750 0.316 0.741
Ag18 0.750 0.900 0.520
Ag19 0.250 0.684 0.259
Ag20 0.507 0.434 0.189
Hg1 0.750 0.636 0.354
Hg2 0.750 0.136 0.146
Hg3 0.250 0.364 0.646
Hg4 0.250 0.864 0.854



Q: The highest energy belongs to which entry?
A: PmAgHg5



Q: Which of these has the highest energy?
A: PmAgHg5